Record 1
A geometry-optimized EuVRh2 structure, computed with PBE.

Density ... 8.498 g/cm3
SG ... No. 166

Cell: 5.8561 5.8561 5.8561 Å, 41.55 41.55 41.55°
Sites, in units of the cell vectors:
1 Eu 0.0000 0.0000 0.0000
2 V 0.5000 0.5000 0.5000
3 Rh 0.2103 0.2103 0.2103
4 Rh 0.7897 0.7897 0.7897

---

Record 2
A geometry-optimized EuY2Rh structure, computed with PBE.

Density ... 5.540 g/cm3
SG ... No. 166

Cell: 9.7418 9.7418 9.7418 Å, 23.56 23.56 23.56°
Sites, in units of the cell vectors:
1 Eu 0.0000 0.0000 0.0000
2 Y 0.2204 0.2204 0.2204
3 Y 0.7796 0.7796 0.7796
4 Rh 0.5000 0.5000 0.5000

---

Record 3
A geometry-optimized EuYRh structure, computed with PBE.

Density ... 7.075 g/cm3
SG ... No. 107

Cell: 7.0493 7.0493 7.0493 Å, 151.29 151.29 41.06°
Sites, in units of the cell vectors:
1 Eu 0.0000 0.0000 0.0000
2 Y 0.2585 0.2585 0.0000
3 Rh 0.6462 0.6462 0.0000

---

Record 4
A geometry-optimized EuY3Rh structure, computed with PBE.

Density ... 5.248 g/cm3
SG ... No. 221

Cell: 5.4851 5.4851 5.4851 Å, 90.00 90.00 90.00°
Sites, in units of the cell vectors:
1 Eu 0.0000 0.0000 0.0000
2 Y 0.0000 0.5000 0.5000
3 Y 0.5000 0.0000 0.5000
4 Y 0.5000 0.5000 0.0000
5 Rh 0.5000 0.5000 0.5000

---

Record 5
A geometry-optimized EuYRh structure, computed with PBE.

Density ... 6.340 g/cm3
SG ... No. 156

Cell: 4.1192 4.1192 6.1273 Å, 90.00 90.00 120.00°
Sites, in units of the cell vectors:
1 Eu 0.0000 0.0000 0.0000
2 Y 0.3333 0.6667 0.4888
3 Rh 0.6667 0.3333 0.2685

---

Record 6
A geometry-optimized EuYRh structure, computed with PBE.

Density ... 6.904 g/cm3
SG ... No. 216

Cell: 4.8900 4.8900 4.8900 Å, 60.00 60.00 60.00°
Sites, in units of the cell vectors:
1 Eu 0.0000 0.0000 0.0000
2 Y 0.5000 0.5000 0.5000
3 Rh 0.2500 0.2500 0.2500

---

Record 7
A geometry-optimized EuY2Rh structure, computed with PBE.

Density ... 6.273 g/cm3
SG ... No. 123

Cell: 3.5239 3.5239 9.2232 Å, 90.00 90.00 90.00°
Sites, in units of the cell vectors:
1 Eu 0.0000 0.0000 0.0000
2 Y 0.5000 0.5000 0.3244
3 Y 0.5000 0.5000 0.6756
4 Rh 0.0000 0.0000 0.5000

---

Record 8
A geometry-optimized Eu2YRh structure, computed with PBE.

Density ... 6.672 g/cm3
SG ... No. 166

Cell: 10.8356 10.8356 10.8356 Å, 19.45 19.45 19.45°
Sites, in units of the cell vectors:
1 Eu 0.1065 0.1065 0.1065
2 Eu 0.8935 0.8935 0.8935
3 Y 0.0000 0.0000 0.0000
4 Rh 0.5000 0.5000 0.5000

---

no.,E_form (eV per atom),total DFT energy (no corrections) (eV per atom)
1,-0.21,-8.731
2,-0.36,-7.996
3,-0.45,-8.479
4,-0.30,-7.704
5,-0.39,-8.423
6,-0.43,-8.456
7,-0.38,-8.020
8,0.05,-8.542